one.
A geometry-optimized LaSmTm2 structure, computed with PBE-GGA.

Values from the calculation:
Size of the total moment = 0.00 Bohr magnetons per cell
Volume = 131 Å³/cell

a = 11.761 Å, b = 11.761 Å, c = 11.761 Å
α = 17.65°, β = 17.65°, γ = 17.65°
Element x y z (fractional)
La 0.000 0.000 0.000
Sm 0.166 0.166 0.166
Tm 0.417 0.417 0.417
Tm 0.582 0.582 0.582


two.
A geometry-optimized LaSmTm2 structure, computed with PBE-GGA.

Values from the calculation:
Size of the total moment = 0.00 Bohr magnetons per cell
Volume = 268 Å³/cell

a = 6.496 Å, b = 6.496 Å, c = 6.501 Å
α = 96.41°, β = 96.41°, γ = 97.03°
Element x y z (fractional)
La 0.250 0.750 0.500
La 0.750 0.250 0.000
Sm 0.203 0.295 0.749
Sm 0.295 0.203 0.249
Tm 0.000 0.791 0.955
Tm 0.499 0.707 0.043
Tm 0.707 0.499 0.543
Tm 0.791 0.000 0.455


Stability ranking, top and bottom: one is the most stable and two is the least stable.


one.
A geometry-optimized LaSmTm2 structure, computed with PBE-GGA.

Values from the calculation:
Size of the total moment = 0.00 Bohr magnetons per cell
Volume = 131 Å³/cell

a = 3.633 Å, b = 3.633 Å, c = 9.901 Å
α = 90.00°, β = 90.00°, γ = 90.00°
Element x y z (fractional)
La 0.000 0.000 0.000
Sm 0.000 0.000 0.500
Tm 0.500 0.500 0.254
Tm 0.500 0.500 0.746


two.
A geometry-optimized LaSmTm2 structure, computed with PBE-GGA.

Values from the calculation:
Size of the total moment = 0.00 Bohr magnetons per cell
Volume = 133 Å³/cell

a = 5.725 Å, b = 5.725 Å, c = 5.725 Å
α = 60.00°, β = 60.00°, γ = 60.00°
Element x y z (fractional)
La 0.000 0.000 0.000
Sm 0.500 0.500 0.500
Tm 0.250 0.250 0.250
Tm 0.750 0.750 0.750


three.
A geometry-optimized LaSmTm2 structure, computed with PBE-GGA.

Values from the calculation:
Size of the total moment = 0.00 Bohr magnetons per cell
Volume = 130 Å³/cell

a = 11.756 Å, b = 11.756 Å, c = 11.756 Å
α = 17.60°, β = 17.60°, γ = 17.60°
Element x y z (fractional)
La 0.000 0.000 0.000
Sm 0.500 0.500 0.500
Tm 0.249 0.249 0.249
Tm 0.751 0.751 0.751


four.
A geometry-optimized LaSmTm2 structure, computed with PBE-GGA.

Values from the calculation:
Size of the total moment = 0.00 Bohr magnetons per cell
Volume = 296 Å³/cell

a = 6.144 Å, b = 5.559 Å, c = 8.773 Å
α = 90.00°, β = 98.70°, γ = 90.00°
Element x y z (fractional)
La 0.000 0.000 0.000
La 0.500 0.500 0.500
Sm 0.098 0.500 0.710
Sm 0.902 0.500 0.290
Tm 0.236 0.000 0.402
Tm 0.337 0.500 0.127
Tm 0.663 0.500 0.873
Tm 0.764 0.000 0.598


Stability ranking, top and bottom: three is the most stable and four is the least stable.


one.
A geometry-optimized La5Sm4Tm structure, computed with PBE-GGA.

Values from the calculation:
Size of the total moment = 0.00 Bohr magnetons per cell
Volume = 351 Å³/cell

a = 3.713 Å, b = 3.713 Å, c = 25.463 Å
α = 90.00°, β = 90.00°, γ = 90.00°
Element x y z (fractional)
La 0.000 0.000 0.000
La 0.000 0.000 0.202
La 0.000 0.000 0.403
La 0.000 0.000 0.597
La 0.000 0.000 0.798
Sm 0.500 0.500 0.101
Sm 0.500 0.500 0.303
Sm 0.500 0.500 0.697
Sm 0.500 0.500 0.899
Tm 0.500 0.500 0.500


two.
A geometry-optimized La5Sm4Tm structure, computed with PBE-GGA.

Values from the calculation:
Size of the total moment = 0.00 Bohr magnetons per cell
Volume = 351 Å³/cell

a = 8.991 Å, b = 8.991 Å, c = 11.664 Å
α = 109.09°, β = 109.09°, γ = 23.29°
Element x y z (fractional)
La 0.000 0.000 0.000
La 0.294 0.294 0.392
La 0.309 0.309 0.916
La 0.691 0.691 0.084
La 0.706 0.706 0.608
Sm 0.105 0.105 0.797
Sm 0.418 0.418 0.705
Sm 0.582 0.582 0.295
Sm 0.895 0.895 0.203
Tm 0.000 0.000 0.500


Stability ranking, top and bottom: one is the most stable and two is the least stable.


one.
A geometry-optimized La2Sm5Tm12 structure, computed with PBE-GGA.

Values from the calculation:
Size of the total moment = 0.00 Bohr magnetons per cell
Volume = 619 Å³/cell

a = 9.089 Å, b = 9.089 Å, c = 8.551 Å
α = 91.62°, β = 91.62°, γ = 61.21°
Element x y z (fractional)
La 0.184 0.816 0.000
La 0.816 0.184 0.000
Sm 0.201 0.201 0.011
Sm 0.268 0.268 0.425
Sm 0.500 0.500 0.500
Sm 0.732 0.732 0.575
Sm 0.799 0.799 0.989
Tm 0.057 0.057 0.331
Tm 0.062 0.683 0.346
Tm 0.168 0.525 0.754
Tm 0.317 0.938 0.654
Tm 0.413 0.413 0.120
Tm 0.475 0.832 0.246
Tm 0.525 0.168 0.754
Tm 0.587 0.587 0.880
Tm 0.683 0.062 0.346
Tm 0.832 0.475 0.246
Tm 0.938 0.317 0.654
Tm 0.943 0.943 0.669


two.
A geometry-optimized La2Sm5Tm12 structure, computed with PBE-GGA.

Values from the calculation:
Size of the total moment = 0.00 Bohr magnetons per cell
Volume = 618 Å³/cell

a = 6.675 Å, b = 7.126 Å, c = 13.627 Å
α = 89.64°, β = 81.29°, γ = 74.88°
Element x y z (fractional)
La 0.134 0.081 0.092
La 0.866 0.919 0.908
Sm 0.000 0.500 0.500
Sm 0.133 0.597 0.079
Sm 0.454 0.744 0.505
Sm 0.546 0.256 0.495
Sm 0.867 0.403 0.921
Tm 0.173 0.580 0.715
Tm 0.178 0.097 0.691
Tm 0.271 0.068 0.330
Tm 0.298 0.549 0.301
Tm 0.410 0.267 0.875
Tm 0.421 0.773 0.874
Tm 0.579 0.227 0.126
Tm 0.590 0.733 0.125
Tm 0.702 0.451 0.699
Tm 0.729 0.932 0.670
Tm 0.822 0.903 0.309
Tm 0.827 0.420 0.285


Stability ranking, top and bottom: two is the most stable and one is the least stable.


one.
A geometry-optimized LaSm3Tm5 structure, computed with PBE-GGA.

Values from the calculation:
Size of the total moment = 0.00 Bohr magnetons per cell
Volume = 597 Å³/cell

a = 10.045 Å, b = 10.045 Å, c = 11.255 Å
α = 111.84°, β = 111.84°, γ = 34.80°
Element x y z (fractional)
La 0.131 0.869 0.750
La 0.869 0.131 0.250
Sm 0.000 0.000 0.000
Sm 0.000 0.000 0.500
Sm 0.046 0.595 0.638
Sm 0.405 0.954 0.862
Sm 0.595 0.046 0.138
Sm 0.954 0.405 0.362
Tm 0.089 0.569 0.969
Tm 0.095 0.580 0.303
Tm 0.379 0.621 0.250
Tm 0.420 0.905 0.197
Tm 0.431 0.911 0.531
Tm 0.569 0.089 0.469
Tm 0.580 0.095 0.803
Tm 0.621 0.379 0.750
Tm 0.905 0.420 0.697
Tm 0.911 0.431 0.031


two.
A geometry-optimized LaSm3Tm5 structure, computed with PBE-GGA.

Values from the calculation:
Size of the total moment = 0.00 Bohr magnetons per cell
Volume = 652 Å³/cell

a = 9.502 Å, b = 9.502 Å, c = 9.971 Å
α = 121.64°, β = 121.64°, γ = 72.52°
Element x y z (fractional)
La 0.246 0.246 0.408
La 0.754 0.754 0.592
Sm 0.000 0.000 0.000
Sm 0.024 0.024 0.365
Sm 0.491 0.491 0.192
Sm 0.500 0.500 0.500
Sm 0.509 0.509 0.808
Sm 0.976 0.976 0.635
Tm 0.097 0.602 0.246
Tm 0.225 0.225 0.040
Tm 0.261 0.739 0.000
Tm 0.284 0.284 0.779
Tm 0.398 0.903 0.754
Tm 0.602 0.097 0.246
Tm 0.716 0.716 0.221
Tm 0.739 0.261 0.000
Tm 0.775 0.775 0.960
Tm 0.903 0.398 0.754


Stability ranking, top and bottom: one is the most stable and two is the least stable.


one.
A geometry-optimized La2SmTm4 structure, computed with PBE-GGA.

Values from the calculation:
Size of the total moment = 0.00 Bohr magnetons per cell
Volume = 460 Å³/cell

a = 6.055 Å, b = 8.531 Å, c = 9.577 Å
α = 88.26°, β = 77.86°, γ = 71.99°
Element x y z (fractional)
La 0.000 0.000 0.000
La 0.014 0.115 0.648
La 0.161 0.600 0.147
La 0.282 0.151 0.269
Sm 0.128 0.657 0.776
Sm 0.913 0.533 0.501
Tm 0.289 0.263 0.912
Tm 0.371 0.735 0.425
Tm 0.477 0.322 0.556
Tm 0.564 0.885 0.722
Tm 0.602 0.790 0.072
Tm 0.681 0.471 0.853
Tm 0.729 0.378 0.204
Tm 0.809 0.947 0.370


two.
A geometry-optimized La2SmTm4 structure, computed with PBE-GGA.

Values from the calculation:
Size of the total moment = 0.00 Bohr magnetons per cell
Volume = 455 Å³/cell

a = 7.152 Å, b = 8.018 Å, c = 8.781 Å
α = 111.30°, β = 90.47°, γ = 102.87°
Element x y z (fractional)
La 0.000 0.000 0.000
La 0.072 0.283 0.428
La 0.359 0.439 0.146
La 0.495 0.998 0.999
Sm 0.781 0.147 0.715
Sm 0.926 0.718 0.572
Tm 0.139 0.571 0.855
Tm 0.213 0.860 0.290
Tm 0.286 0.146 0.713
Tm 0.428 0.718 0.573
Tm 0.570 0.288 0.431
Tm 0.641 0.569 0.852
Tm 0.713 0.858 0.289
Tm 0.857 0.437 0.145


Stability ranking, top and bottom: two is the most stable and one is the least stable.


one.
A geometry-optimized La4SmTm structure, computed with PBE-GGA.

Values from the calculation:
Size of the total moment = 0.00 Bohr magnetons per cell
Volume = 213 Å³/cell

a = 6.468 Å, b = 6.468 Å, c = 6.102 Å
α = 90.00°, β = 90.00°, γ = 123.61°
Element x y z (fractional)
La 0.157 0.843 0.000
La 0.343 0.657 0.500
La 0.657 0.343 0.500
La 0.843 0.157 0.000
Sm 0.000 0.000 0.500
Tm 0.500 0.500 0.000


two.
A geometry-optimized La4SmTm structure, computed with PBE-GGA.

Values from the calculation:
Size of the total moment = 0.00 Bohr magnetons per cell
Volume = 212 Å³/cell

a = 6.476 Å, b = 6.476 Å, c = 7.186 Å
α = 117.78°, β = 117.78°, γ = 55.86°
Element x y z (fractional)
La 0.158 0.158 0.006
La 0.176 0.176 0.531
La 0.824 0.824 0.469
La 0.842 0.842 0.994
Sm 0.500 0.500 0.500
Tm 0.500 0.500 0.000


Stability ranking, top and bottom: one is the most stable and two is the least stable.


one.
A geometry-optimized La4SmTm2 structure, computed with PBE-GGA.

Values from the calculation:
Size of the total moment = 0.00 Bohr magnetons per cell
Volume = 487 Å³/cell

a = 12.744 Å, b = 12.744 Å, c = 6.885 Å
α = 96.97°, β = 96.97°, γ = 150.33°
Element x y z (fractional)
La 0.019 0.981 0.500
La 0.132 0.594 0.728
La 0.217 0.612 0.273
La 0.452 0.557 0.457
La 0.557 0.452 0.957
La 0.594 0.132 0.228
La 0.612 0.217 0.773
La 0.981 0.019 0.000
Sm 0.088 0.839 0.866
Sm 0.839 0.088 0.366
Tm 0.045 0.731 0.320
Tm 0.341 0.527 0.911
Tm 0.527 0.341 0.411
Tm 0.731 0.045 0.820


two.
A geometry-optimized La4SmTm2 structure, computed with PBE-GGA.

Values from the calculation:
Size of the total moment = 0.00 Bohr magnetons per cell
Volume = 489 Å³/cell

a = 9.073 Å, b = 9.073 Å, c = 9.073 Å
α = 134.70°, β = 100.52°, γ = 96.55°
Element x y z (fractional)
La 0.156 0.155 0.002
La 0.258 0.226 0.468
La 0.258 0.790 0.032
La 0.347 0.845 0.502
La 0.653 0.155 0.498
La 0.742 0.210 0.968
La 0.742 0.774 0.532
La 0.844 0.845 0.998
Sm 0.000 0.000 0.500
Sm 0.000 0.500 0.000
Tm 0.000 0.500 0.500
Tm 0.465 0.715 0.750
Tm 0.500 0.500 0.000
Tm 0.535 0.285 0.250


Stability ranking, top and bottom: one is the most stable and two is the least stable.


one.
A geometry-optimized La8Sm2Tm structure, computed with PBE-GGA.

Values from the calculation:
Size of the total moment = 0.00 Bohr magnetons per cell
Volume = 396 Å³/cell

a = 9.641 Å, b = 9.641 Å, c = 6.074 Å
α = 105.50°, β = 105.50°, γ = 122.45°
Element x y z (fractional)
La 0.096 0.331 0.683
La 0.205 0.795 0.000
La 0.331 0.096 0.683
La 0.419 0.419 0.201
La 0.581 0.581 0.799
La 0.669 0.904 0.317
La 0.795 0.205 0.000
La 0.904 0.669 0.317
Sm 0.310 0.690 0.500
Sm 0.690 0.310 0.500
Tm 0.000 0.000 0.000


two.
A geometry-optimized La8Sm2Tm structure, computed with PBE-GGA.

Values from the calculation:
Size of the total moment = 0.00 Bohr magnetons per cell
Volume = 392 Å³/cell

a = 9.748 Å, b = 9.748 Å, c = 8.249 Å
α = 104.54°, β = 104.54°, γ = 31.15°
Element x y z (fractional)
La 0.046 0.046 0.228
La 0.136 0.136 0.682
La 0.319 0.319 0.588
La 0.409 0.409 0.048
La 0.591 0.591 0.952
La 0.681 0.681 0.412
La 0.864 0.864 0.318
La 0.954 0.954 0.772
Sm 0.226 0.226 0.136
Sm 0.774 0.774 0.864
Tm 0.500 0.500 0.500


Stability ranking, top and bottom: two is the most stable and one is the least stable.